1.
# KCdMo2 (PBE, optimized geometry)
# final energy: -4.90 eV per atom
# space-group type: C2/m (12)
# formation energy from the elements: 392 kJ/mol of formula units
# D(E_F): 3.59 states/eV per cell
data_KCdMo2
_chemical_formula_sum 'K1 Cd1 Mo2'
_cell_length_a 6.5561
_cell_length_b 6.5561
_cell_length_c 5.2594
_cell_angle_alpha 66.50
_cell_angle_beta 66.50
_cell_angle_gamma 23.82
_space_group_name_H-M_alt 'P 1'
_space_group_IT_number 1
_space_group_name_Hall 'P 1'
loop_
_atom_site_label
_atom_site_type_symbol
_atom_site_fract_x
_atom_site_fract_y
_atom_site_fract_z
Cd1 Cd 0.7500 0.7500 0.7500
K1 K 0.2500 0.2500 0.2500
Mo1 Mo 0.0252 0.0252 0.9748
Mo2 Mo 0.4748 0.4748 0.5252

=====

2.
# ThU4P5 (PBE, optimized geometry)
# final energy: -9.02 eV per atom
# space-group type: Immm (71)
# formation energy from the elements: -1023 kJ/mol of formula units
# D(E_F): 24.17 states/eV per cell
data_ThU4P5
_chemical_formula_sum 'Th1 U4 P5'
_cell_length_a 3.9733
_cell_length_b 5.6373
_cell_length_c 10.5673
_cell_angle_alpha 105.47
_cell_angle_beta 100.84
_cell_angle_gamma 90.00
_space_group_name_H-M_alt 'P 1'
_space_group_IT_number 1
_space_group_name_Hall 'P 1'
loop_
_atom_site_label
_atom_site_type_symbol
_atom_site_fract_x
_atom_site_fract_y
_atom_site_fract_z
Th1 Th 0.0000 0.0000 0.0000
U1 U 0.3995 0.3995 0.7989
U2 U 0.7967 0.7967 0.5934
U3 U 0.2033 0.2033 0.4066
U4 U 0.6005 0.6005 0.2011
P1 P 0.6059 0.1059 0.2117
P2 P 0.8013 0.3013 0.6026
P3 P 0.1987 0.6987 0.3974
P4 P 0.0000 0.5000 0.0000
P5 P 0.3941 0.8941 0.7883

=====

3.
# OsPt3 (PBE, optimized geometry)
# final energy: -6.96 eV per atom
# space-group type: Fm-3m (225)
# formation energy from the elements: 146 kJ/mol of formula units
# D(E_F): 4.77 states/eV per cell
data_OsPt3
_chemical_formula_sum 'Os1 Pt3'
_cell_length_a 4.4585
_cell_length_b 4.4585
_cell_length_c 4.4585
_cell_angle_alpha 60.00
_cell_angle_beta 60.00
_cell_angle_gamma 60.00
_space_group_name_H-M_alt 'P 1'
_space_group_IT_number 1
_space_group_name_Hall 'P 1'
loop_
_atom_site_label
_atom_site_type_symbol
_atom_site_fract_x
_atom_site_fract_y
_atom_site_fract_z
Os1 Os 0.0000 0.0000 0.0000
Pt1 Pt 0.2500 0.2500 0.2500
Pt2 Pt 0.5000 0.5000 0.5000
Pt3 Pt 0.7500 0.7500 0.7500

=====

4.
# PmPr5YEr2 (PBE, optimized geometry)
# final energy: -4.77 eV per atom
# space-group type: Cmc2_1 (36)
# formation energy from the elements: 128 kJ/mol of formula units
# D(E_F): 29.17 states/eV per cell
data_PmPr5YEr2
_chemical_formula_sum 'Pm2 Pr10 Y2 Er4'
_cell_length_a 5.6821
_cell_length_b 10.7253
_cell_length_c 10.7899
_cell_angle_alpha 90.00
_cell_angle_beta 90.00
_cell_angle_gamma 105.36
_space_group_name_H-M_alt 'P 1'
_space_group_IT_number 1
_space_group_name_Hall 'P 1'
loop_
_atom_site_label
_atom_site_type_symbol
_atom_site_fract_x
_atom_site_fract_y
_atom_site_fract_z
Pm1 Pm 0.7992 0.5984 0.5102
Pm2 Pm 0.2008 0.4016 0.0102
Pr1 Pr 0.3876 0.7751 0.0235
Pr2 Pr 0.7205 0.4410 0.8110
Pr3 Pr 0.4822 0.9644 0.7445
Pr4 Pr 0.2951 0.5903 0.7046
Pr5 Pr 0.9856 0.9712 0.5187
Pr6 Pr 0.6124 0.2249 0.5235
Pr7 Pr 0.2795 0.5590 0.3110
Pr8 Pr 0.5178 0.0356 0.2445
Pr9 Pr 0.7049 0.4097 0.2046
Pr10 Pr 0.0144 0.0288 0.0187
Y1 Y 0.5924 0.1848 0.9620
Y2 Y 0.4076 0.8152 0.4620
Er1 Er 0.8847 0.7693 0.8094
Er2 Er 0.1116 0.2232 0.7401
Er3 Er 0.1153 0.2307 0.3094
Er4 Er 0.8884 0.7768 0.2401

=====

5.
# BeTcSe2 (PBE, optimized geometry)
# final energy: -4.74 eV per atom
# space-group type: P2/m (10)
# D(E_F): 3.29 states/eV per cell
data_BeTcSe2
_chemical_formula_sum 'Be1 Tc1 Se2'
_cell_length_a 4.0353
_cell_length_b 3.4405
_cell_length_c 4.7652
_cell_angle_alpha 83.55
_cell_angle_beta 90.00
_cell_angle_gamma 90.00
_space_group_name_H-M_alt 'P 1'
_space_group_IT_number 1
_space_group_name_Hall 'P 1'
loop_
_atom_site_label
_atom_site_type_symbol
_atom_site_fract_x
_atom_site_fract_y
_atom_site_fract_z
Be1 Be 0.5000 0.7500 0.7500
Tc1 Tc 0.5000 0.2500 0.2500
Se1 Se 0.0000 0.0562 0.9873
Se2 Se 0.0000 0.4438 0.5127

=====

6.
# TlSeIN2 (PBE, optimized geometry)
# final energy: -3.09 eV per atom
# excess energy over the best structure of this formula in the dataset: 222.7 meV/atom
# space-group type: P4/mmm (123)
# D(E_F): 2.56 states/eV per cell
data_TlSeIN2
_chemical_formula_sum 'Tl1 Se1 I1 N2'
_cell_length_a 4.4444
_cell_length_b 4.4444
_cell_length_c 6.1465
_cell_angle_alpha 90.00
_cell_angle_beta 90.00
_cell_angle_gamma 90.00
_space_group_name_H-M_alt 'P 1'
_space_group_IT_number 1
_space_group_name_Hall 'P 1'
loop_
_atom_site_label
_atom_site_type_symbol
_atom_site_fract_x
_atom_site_fract_y
_atom_site_fract_z
I1 I 0.5000 0.5000 0.5000
Tl1 Tl 0.0000 0.0000 0.0000
Se1 Se 0.0000 0.0000 0.5000
N1 N 0.0000 0.5000 0.0000
N2 N 0.5000 0.0000 0.0000

=====

7.
# Ca2YAu (PBE, optimized geometry)
# final energy: -3.75 eV per atom
# excess energy over the best structure of this formula in the dataset: 86.6 meV/atom
# space-group type: P4/mmm (123)
# formation energy from the elements: -123 kJ/mol of formula units
# D(E_F): 5.72 states/eV per cell
data_Ca2YAu
_chemical_formula_sum 'Ca2 Y1 Au1'
_cell_length_a 3.6162
_cell_length_b 3.6192
_cell_length_c 9.9834
_cell_angle_alpha 68.76
_cell_angle_beta 90.00
_cell_angle_gamma 90.00
_space_group_name_H-M_alt 'P 1'
_space_group_IT_number 1
_space_group_name_Hall 'P 1'
loop_
_atom_site_label
_atom_site_type_symbol
_atom_site_fract_x
_atom_site_fract_y
_atom_site_fract_z
Y1 Y 0.5000 0.2500 0.2500
Ca1 Ca 0.0000 0.0570 0.9434
Ca2 Ca 0.0000 0.4430 0.5566
Au1 Au 0.5000 0.7500 0.7500

=====

8.
# Pa3Al2Ni4 (PBE, optimized geometry)
# final energy: -7.02 eV per atom
# space-group type: C2/m (12)
# formation energy from the elements: -390 kJ/mol of formula units
# D(E_F): 8.93 states/eV per cell
data_Pa3Al2Ni4
_chemical_formula_sum 'Pa3 Al2 Ni4'
_cell_length_a 4.2632
_cell_length_b 4.8399
_cell_length_c 8.3444
_cell_angle_alpha 95.98
_cell_angle_beta 90.00
_cell_angle_gamma 116.13
_space_group_name_H-M_alt 'P 1'
_space_group_IT_number 1
_space_group_name_Hall 'P 1'
loop_
_atom_site_label
_atom_site_type_symbol
_atom_site_fract_x
_atom_site_fract_y
_atom_site_fract_z
Pa1 Pa 0.3435 0.6871 0.5897
Pa2 Pa 0.0000 0.0000 0.0000
Pa3 Pa 0.6565 0.3129 0.4103
Al1 Al 0.3293 0.6586 0.2139
Al2 Al 0.6707 0.3414 0.7861
Ni1 Ni 0.7131 0.4262 0.0859
Ni2 Ni 0.0474 0.0948 0.6557
Ni3 Ni 0.9526 0.9052 0.3443
Ni4 Ni 0.2869 0.5738 0.9141

=====

9.
# NaHBrO (PBE, optimized geometry)
# final energy: -3.78 eV per atom
# space-group type: Cm (8)
# D(E_F): 0.56 states/eV per cell
data_NaHBrO
_chemical_formula_sum 'Na1 H1 Br1 O1'
_cell_length_a 2.8257
_cell_length_b 3.6300
_cell_length_c 7.3043
_cell_angle_alpha 104.39
_cell_angle_beta 68.67
_cell_angle_gamma 90.00
_space_group_name_H-M_alt 'P 1'
_space_group_IT_number 1
_space_group_name_Hall 'P 1'
loop_
_atom_site_label
_atom_site_type_symbol
_atom_site_fract_x
_atom_site_fract_y
_atom_site_fract_z
Na1 Na 0.1029 0.2416 0.4832
H1 H 0.3888 0.8591 0.7183
Br1 Br 0.5169 0.5284 0.0568
O1 O 0.5219 0.7845 0.5691

=====

10.
# LiNbInIr (PBE, optimized geometry)
# final energy: -6.32 eV per atom
# space-group type: F-43m (216)
# formation energy from the elements: -162 kJ/mol of formula units
data_LiNbInIr
_chemical_formula_sum 'Li1 Nb1 In1 Ir1'
_cell_length_a 4.5062
_cell_length_b 4.5062
_cell_length_c 4.5062
_cell_angle_alpha 60.00
_cell_angle_beta 60.00
_cell_angle_gamma 60.00
_space_group_name_H-M_alt 'P 1'
_space_group_IT_number 1
_space_group_name_Hall 'P 1'
loop_
_atom_site_label
_atom_site_type_symbol
_atom_site_fract_x
_atom_site_fract_y
_atom_site_fract_z
Nb1 Nb 0.5000 0.5000 0.5000
Ir1 Ir 0.7500 0.7500 0.7500
Li1 Li 0.2500 0.2500 0.2500
In1 In 0.0000 0.0000 0.0000

=====

11.
# TaZn2Ni5 (PBE, optimized geometry)
# final energy: -5.73 eV per atom
# space-group type: I4/mmm (139)
# formation energy from the elements: -241 kJ/mol of formula units
# D(E_F): 3.63 states/eV per cell
data_TaZn2Ni5
_chemical_formula_sum 'Ta1 Zn2 Ni5'
_cell_length_a 3.7134
_cell_length_b 3.7134
_cell_length_c 7.5774
_cell_angle_alpha 104.18
_cell_angle_beta 104.18
_cell_angle_gamma 90.00
_space_group_name_H-M_alt 'P 1'
_space_group_IT_number 1
_space_group_name_Hall 'P 1'
loop_
_atom_site_label
_atom_site_type_symbol
_atom_site_fract_x
_atom_site_fract_y
_atom_site_fract_z
Ta1 Ta 0.0000 0.0000 0.0000
Zn1 Zn 0.2529 0.2529 0.5059
Zn2 Zn 0.7471 0.7471 0.4941
Ni1 Ni 0.5000 0.5000 0.0000
Ni2 Ni 0.6253 0.1253 0.2506
Ni3 Ni 0.1253 0.6253 0.2506
Ni4 Ni 0.3747 0.8747 0.7494
Ni5 Ni 0.8747 0.3747 0.7494

=====

12.
# UTlCu2Se4 (PBE, optimized geometry)
# final energy: -4.85 eV per atom
# space-group type: I222 (23)
# D(E_F): 8.23 states/eV per cell
data_UTlCu2Se4
_chemical_formula_sum 'U1 Tl1 Cu2 Se4'
_cell_length_a 6.7322
_cell_length_b 6.4091
_cell_length_c 6.4091
_cell_angle_alpha 71.73
_cell_angle_beta 58.32
_cell_angle_gamma 58.32
_space_group_name_H-M_alt 'P 1'
_space_group_IT_number 1
_space_group_name_Hall 'P 1'
loop_
_atom_site_label
_atom_site_type_symbol
_atom_site_fract_x
_atom_site_fract_y
_atom_site_fract_z
U1 U 0.5000 0.5000 0.5000
Tl1 Tl 0.0000 0.0000 0.0000
Cu1 Cu 0.1587 0.3413 0.3413
Cu2 Cu 0.8413 0.6587 0.6587
Se1 Se 0.4439 0.1002 0.5204
Se2 Se 0.0645 0.8998 0.4796
Se3 Se 0.9355 0.5204 0.1002
Se4 Se 0.5561 0.4796 0.8998

=====

13.
# K2Ba2Hg (PBE, optimized geometry)
# final energy: -1.29 eV per atom
# excess energy over the best structure of this formula in the dataset: 190.1 meV/atom
# space-group type: P4/mbm (127)
# formation energy from the elements: -10 kJ/mol of formula units
# D(E_F): 6.47 states/eV per cell
data_K2Ba2Hg
_chemical_formula_sum 'K4 Ba4 Hg2'
_cell_length_a 9.0363
_cell_length_b 9.0363
_cell_length_c 7.5151
_cell_angle_alpha 90.00
_cell_angle_beta 90.00
_cell_angle_gamma 90.00
_space_group_name_H-M_alt 'P 1'
_space_group_IT_number 1
_space_group_name_Hall 'P 1'
loop_
_atom_site_label
_atom_site_type_symbol
_atom_site_fract_x
_atom_site_fract_y
_atom_site_fract_z
K1 K 0.1694 0.6694 0.5000
K2 K 0.6694 0.8306 0.5000
K3 K 0.8306 0.3306 0.5000
K4 K 0.3306 0.1694 0.5000
Hg1 Hg 0.0000 0.0000 0.0000
Hg2 Hg 0.5000 0.5000 0.0000
Ba1 Ba 0.3310 0.8310 0.0000
Ba2 Ba 0.8310 0.6690 0.0000
Ba3 Ba 0.6690 0.1690 0.0000
Ba4 Ba 0.1690 0.3310 0.0000

=====

14.
# BeOsN2 (PBE, optimized geometry)
# final energy: -7.59 eV per atom
# space-group type: R-3m (166)
# D(E_F): 2.01 states/eV per cell
data_BeOsN2
_chemical_formula_sum 'Be1 Os1 N2'
_cell_length_a 5.8910
_cell_length_b 5.8910
_cell_length_c 5.8910
_cell_angle_alpha 28.33
_cell_angle_beta 28.33
_cell_angle_gamma 28.33
_space_group_name_H-M_alt 'P 1'
_space_group_IT_number 1
_space_group_name_Hall 'P 1'
loop_
_atom_site_label
_atom_site_type_symbol
_atom_site_fract_x
_atom_site_fract_y
_atom_site_fract_z
Be1 Be 0.0000 0.0000 0.0000
Os1 Os 0.5000 0.5000 0.5000
N1 N 0.9090 0.9090 0.9090
N2 N 0.0910 0.0910 0.0910